[1]
An optimized crystal structure of NaScFe2, computed with GGA-PBE.

Output
DFT formation energy: 2.73 eV/f.u.
Energy above the lowest structure with this stoichiometry: 0 meV/atom

Cell and atoms, written as POSCAR:
```
NaScFe2
1.0
0.000 3.254 3.254
3.254 0.000 3.254
3.254 3.254 0.000
Na Sc Fe
1 1 2
Cartesian
0.000 0.000 0.000
3.254 3.254 3.254
1.627 1.627 1.627
4.882 4.882 4.882
```

[2]
An optimized crystal structure of Ac2Y12Ho5, computed with GGA-PBE.

Output
DFT formation energy: 2.67 eV/f.u.
Energy above the lowest structure with this stoichiometry: 26 meV/atom

Cell and atoms, written as POSCAR:
```
Ac2Y12Ho5
1.0
8.356 -4.517 0.000
8.356 4.517 0.000
-0.268 0.000 8.549
Ac Y Ho
2 12 5
Cartesian
8.356 2.610 0.000
8.356 -2.610 0.000
4.940 2.665 6.668
2.557 0.000 7.451
6.400 1.862 3.327
11.504 2.665 1.881
10.045 1.862 5.222
7.260 0.000 6.102
9.184 0.000 2.447
6.400 -1.862 3.327
4.940 -2.665 6.668
10.045 -1.862 5.222
13.887 0.000 1.098
11.504 -2.665 1.881
-0.134 0.000 4.275
3.935 0.000 4.692
5.858 0.000 0.465
10.586 0.000 8.085
12.509 0.000 3.857
```

[3]
An optimized crystal structure of Al2AgPbAu4, computed with GGA-PBE.

Output
DFT formation energy: -1.30 eV/f.u.

Cell and atoms, written as POSCAR:
```
Al2AgPbAu4
1.0
2.202 1.271 9.554
-2.202 1.271 9.554
0.000 -2.543 9.554
Al Ag Pb Au
2 1 1 4
Cartesian
0.000 0.000 6.701
0.000 0.000 21.962
0.000 0.000 14.332
0.000 0.000 0.000
0.000 0.000 3.476
0.000 0.000 11.396
0.000 0.000 17.267
0.000 0.000 25.188
```

[4]
An optimized crystal structure of Ac2Dy6Y5, computed with GGA-PBE.

Output
DFT formation energy: 1.54 eV/f.u.

Cell and atoms, written as POSCAR:
```
Ac2Dy6Y5
1.0
11.920 0.000 0.000
0.000 20.447 0.000
0.000 0.000 3.659
Ac Dy Y
4 12 10
Cartesian
1.950 4.548 0.000
4.011 14.771 0.000
7.910 5.676 0.000
9.971 15.899 0.000
0.731 18.942 0.000
0.874 13.059 0.000
2.162 7.792 1.830
3.799 18.015 1.830
5.086 2.835 0.000
5.230 8.718 0.000
6.691 11.728 0.000
6.835 17.611 0.000
8.122 2.431 1.830
9.759 12.655 1.830
11.046 7.388 0.000
11.190 1.505 0.000
0.000 10.223 1.830
1.159 16.025 1.830
2.382 1.106 1.830
3.578 11.329 1.830
4.801 5.802 1.830
5.960 0.000 1.830
7.120 14.645 1.830
8.342 9.117 1.830
9.538 19.341 1.830
10.761 4.422 1.830
```

[5]
An optimized crystal structure of Zr3TlP, computed with GGA-PBE.

Output
DFT formation energy: -1.77 eV/f.u.
Energy above the lowest structure with this stoichiometry: 0 meV/atom

Cell and atoms, written as POSCAR:
```
Zr3TlP
1.0
4.896 0.000 0.000
0.000 4.896 0.000
0.000 0.000 4.896
Zr Tl P
3 1 1
Cartesian
0.000 0.000 2.448
0.000 2.448 0.000
2.448 0.000 0.000
2.448 2.448 2.448
0.000 0.000 0.000
```

[6]
An optimized crystal structure of Zn2Si2Ru3, computed with GGA-PBE.

Output
Formation energy without anion corrections: -6.42 kcal/mol of atoms

Cell and atoms, written as POSCAR:
```
Zn2Si2Ru3
1.0
3.548 -2.052 0.000
3.548 2.052 0.000
-2.358 0.000 6.964
Zn Si Ru
2 2 3
Cartesian
0.006 0.000 2.784
4.732 0.000 4.180
2.365 0.000 0.938
2.373 0.000 6.027
0.000 0.000 0.000
0.009 0.000 5.369
4.728 0.000 1.595
```